(1)
First-principles (PBE) data for crystalline RbTiAg2Cl8 at its relaxed geometry, as listed in Alexandria via LeMat-Bulk. Values from VASP.

Cell and atoms, written as Quantum ESPRESSO input:
```
&SYSTEM
  ibrav = 0, nat = 12, ntyp = 4
/
ATOMIC_SPECIES
Rb 85.47 Rb.upf
Ti 47.87 Ti.upf
Ag 107.87 Ag.upf
Cl 35.45 Cl.upf
CELL_PARAMETERS angstrom
6.587 0.000 0.000
-0.347 6.595 0.000
-2.595 -0.633 8.149
ATOMIC_POSITIONS angstrom
Rb 0.000 0.000 0.000
Ti 1.996 -0.317 4.075
Ag 0.455 2.780 6.440
Ag 3.190 3.182 1.709
Cl -0.083 5.211 3.002
Cl 1.285 3.442 0.019
Cl 0.639 1.654 4.230
Cl 0.800 5.500 6.186
Cl 2.846 0.461 1.963
Cl 3.006 4.307 3.919
Cl 2.360 2.519 8.131
Cl 3.728 0.750 5.147
```

Properties
Its crystal system is triclinic. As for the space-group type: No. 2. For the total energy, the calculation gives -42.65 eV for the cell shown. The density comes out at 2.97 g/cm3. The uncorrected formation energy comes out at -13.31 eV/f.u.


(2)
First-principles (PBE) data for crystalline Rb3Tl4AgCl8 at its relaxed geometry, as listed in Alexandria via LeMat-Bulk. Values from VASP.

Cell and atoms, written as Quantum ESPRESSO input:
```
&SYSTEM
  ibrav = 0, nat = 16, ntyp = 4
/
ATOMIC_SPECIES
Rb 85.47 Rb.upf
Tl 204.38 Tl.upf
Ag 107.87 Ag.upf
Cl 35.45 Cl.upf
CELL_PARAMETERS angstrom
7.979 -4.542 0.000
7.979 4.542 0.000
-5.138 0.000 7.535
ATOMIC_POSITIONS angstrom
Rb 0.000 0.000 0.000
Rb 3.990 2.271 0.000
Rb 3.990 -2.271 0.000
Tl -2.569 0.000 3.768
Tl 1.421 2.271 3.768
Tl 1.421 -2.271 3.768
Tl 5.410 0.000 3.768
Ag 7.979 0.000 0.000
Cl -0.020 0.000 5.514
Cl 2.702 0.000 1.915
Cl 3.962 1.973 5.862
Cl 6.858 1.973 1.673
Cl 3.962 -1.973 5.862
Cl 6.858 -1.973 1.673
Cl 8.119 0.000 5.620
Cl 10.840 0.000 2.022
```

Properties
Its crystal system is monoclinic. As for the space-group type: No. 12. For the total energy, the calculation gives -50.22 eV for the cell shown. The density comes out at 4.45 g/cm3. The uncorrected formation energy comes out at -20.23 eV/f.u.


(3)
First-principles (PBE) data for crystalline RbTlAgCl4 at its relaxed geometry, as listed in Alexandria via LeMat-Bulk. Values from VASP.

Cell and atoms, written as Quantum ESPRESSO input:
```
&SYSTEM
  ibrav = 0, nat = 14, ntyp = 4
/
ATOMIC_SPECIES
Rb 85.47 Rb.upf
Tl 204.38 Tl.upf
Ag 107.87 Ag.upf
Cl 35.45 Cl.upf
CELL_PARAMETERS angstrom
3.613 -8.109 0.000
3.613 8.109 0.000
0.000 0.000 7.254
ATOMIC_POSITIONS angstrom
Rb 3.613 6.341 5.440
Rb 3.613 -6.341 1.813
Tl 3.613 1.746 5.440
Tl 3.613 -1.746 1.813
Ag 3.613 4.036 1.813
Ag 3.613 -4.036 5.440
Cl 1.807 4.054 0.000
Cl 1.807 4.054 3.627
Cl 3.613 6.644 1.813
Cl 3.613 1.402 1.813
Cl 1.807 -4.054 0.000
Cl 1.807 -4.054 3.627
Cl 3.613 -1.402 5.440
Cl 3.613 -6.644 5.440
```

Properties
Its crystal system is orthorhombic. As for the space-group type: No. 63. For the total energy, the calculation gives -41.33 eV for the cell shown. The density comes out at 4.22 g/cm3. The uncorrected formation energy comes out at -7.10 eV/f.u.


(4)
First-principles (PBE) data for crystalline RbTl2Ag2Cl6 at its relaxed geometry, as listed in Alexandria via LeMat-Bulk. Values from VASP.

Cell and atoms, written as Quantum ESPRESSO input:
```
&SYSTEM
  ibrav = 0, nat = 11, ntyp = 4
/
ATOMIC_SPECIES
Rb 85.47 Rb.upf
Tl 204.38 Tl.upf
Ag 107.87 Ag.upf
Cl 35.45 Cl.upf
CELL_PARAMETERS angstrom
6.835 -4.069 0.000
6.835 4.069 0.000
-3.042 0.000 6.700
ATOMIC_POSITIONS angstrom
Rb 0.000 0.000 0.000
Tl 1.221 0.000 4.259
Tl 9.408 0.000 2.441
Ag 5.288 0.000 1.822
Ag 5.341 0.000 4.878
Cl 3.676 1.821 4.293
Cl 3.332 0.000 0.367
Cl 6.953 1.821 2.406
Cl 3.676 -1.821 4.293
Cl 7.297 0.000 6.333
Cl 6.953 -1.821 2.406
```

Properties
Its crystal system is monoclinic. As for the space-group type: No. 12. For the total energy, the calculation gives -31.90 eV for the cell shown. The density comes out at 4.11 g/cm3. The uncorrected formation energy comes out at -9.42 eV/f.u.


(5)
First-principles (PBE) data for crystalline Rb2TlAgCl6 at its relaxed geometry, as listed in Alexandria via LeMat-Bulk. Values from VASP.

Cell and atoms, written as Quantum ESPRESSO input:
```
&SYSTEM
  ibrav = 0, nat = 10, ntyp = 4
/
ATOMIC_SPECIES
Rb 85.47 Rb.upf
Tl 204.38 Tl.upf
Ag 107.87 Ag.upf
Cl 35.45 Cl.upf
CELL_PARAMETERS angstrom
0.000 5.327 5.327
5.327 0.000 5.327
5.327 5.327 0.000
ATOMIC_POSITIONS angstrom
Rb 2.664 2.664 2.664
Rb 7.991 7.991 7.991
Tl 0.000 0.000 0.000
Ag 5.327 5.327 5.327
Cl 5.327 5.327 2.650
Cl 5.327 2.650 5.327
Cl 8.005 5.327 5.327
Cl 2.650 5.327 5.327
Cl 5.327 8.005 5.327
Cl 5.327 5.327 8.005
```

Properties
The polymorph energy (0 for the lowest one) comes out at 0.009 eV/atom. Its crystal system is cubic. As for the space-group type: No. 225. For the total energy, the calculation gives -30.04 eV for the cell shown. The density comes out at 3.82 g/cm3. The uncorrected formation energy comes out at -11.81 eV/f.u.


(6)
First-principles (PBE) data for crystalline RbTlAg2Cl8 at its relaxed geometry, as listed in Alexandria via LeMat-Bulk. Values from VASP.

Cell and atoms, written as Quantum ESPRESSO input:
```
&SYSTEM
  ibrav = 0, nat = 12, ntyp = 4
/
ATOMIC_SPECIES
Rb 85.47 Rb.upf
Tl 204.38 Tl.upf
Ag 107.87 Ag.upf
Cl 35.45 Cl.upf
CELL_PARAMETERS angstrom
-3.214 3.214 8.789
3.214 -3.214 8.789
3.214 3.214 -8.789
ATOMIC_POSITIONS angstrom
Rb 0.000 0.000 0.000
Tl 3.214 0.000 4.394
Ag 0.000 0.000 8.789
Ag 0.000 3.214 4.394
Cl 1.209 1.311 -3.264
Cl 4.403 1.918 -1.665
Cl 5.116 1.209 3.264
Cl 1.918 2.024 1.665
Cl -1.190 1.296 7.124
Cl 2.005 1.903 5.525
Cl 1.296 1.190 10.454
Cl -1.903 2.005 12.053
```

Properties
Its crystal system is tetragonal. As for the space-group type: No. 82. For the total energy, the calculation gives -30.91 eV for the cell shown. The density comes out at 3.61 g/cm3. The uncorrected formation energy comes out at -7.10 eV/f.u.


(7)
First-principles (PBE) data for crystalline RbTl2AgCl8 at its relaxed geometry, as listed in Alexandria via LeMat-Bulk. Values from VASP.

Cell and atoms, written as Quantum ESPRESSO input:
```
&SYSTEM
  ibrav = 0, nat = 12, ntyp = 4
/
ATOMIC_SPECIES
Rb 85.47 Rb.upf
Tl 204.38 Tl.upf
Ag 107.87 Ag.upf
Cl 35.45 Cl.upf
CELL_PARAMETERS angstrom
-3.358 3.358 8.319
3.358 -3.358 8.319
3.358 3.358 -8.319
ATOMIC_POSITIONS angstrom
Rb 0.000 0.000 0.000
Tl 0.000 0.000 8.319
Tl 0.000 3.358 4.159
Ag 3.358 0.000 4.159
Cl 1.511 1.307 -3.048
Cl 1.603 -1.164 6.840
Cl 2.194 1.755 1.479
Cl 2.051 -1.847 11.367
Cl 1.755 4.522 -1.479
Cl 1.847 2.051 5.271
Cl 1.164 1.603 9.798
Cl 1.307 5.205 3.048
```

Properties
Its crystal system is tetragonal. As for the space-group type: No. 82. For the total energy, the calculation gives -33.35 eV for the cell shown. The density comes out at 3.92 g/cm3. The uncorrected formation energy comes out at -10.03 eV/f.u.


(8)
First-principles (PBE) data for crystalline RbTlAg2Cl at its relaxed geometry, as listed in Alexandria via LeMat-Bulk. Values from VASP.

Cell and atoms, written as Quantum ESPRESSO input:
```
&SYSTEM
  ibrav = 0, nat = 5, ntyp = 4
/
ATOMIC_SPECIES
Rb 85.47 Rb.upf
Tl 204.38 Tl.upf
Ag 107.87 Ag.upf
Cl 35.45 Cl.upf
CELL_PARAMETERS angstrom
5.369 0.000 0.000
0.000 5.369 0.000
0.000 0.000 5.909
ATOMIC_POSITIONS angstrom
Rb 0.000 0.000 0.000
Tl 2.684 2.684 0.000
Ag 0.000 2.684 2.954
Ag 2.684 0.000 2.954
Cl 0.000 0.000 2.954
```

Properties
Its crystal system is tetragonal. As for the space-group type: No. 123. For the total energy, the calculation gives -10.38 eV for the cell shown. The density comes out at 5.27 g/cm3. The uncorrected formation energy comes out at 0.51 eV/f.u.


(9)
First-principles (PBE) data for crystalline Rb3TlAg2Cl6 at its relaxed geometry, as listed in Alexandria via LeMat-Bulk. Values from VASP.

Cell and atoms, written as Quantum ESPRESSO input:
```
&SYSTEM
  ibrav = 0, nat = 12, ntyp = 4
/
ATOMIC_SPECIES
Rb 85.47 Rb.upf
Tl 204.38 Tl.upf
Ag 107.87 Ag.upf
Cl 35.45 Cl.upf
CELL_PARAMETERS angstrom
8.335 0.000 0.000
-4.168 7.218 0.000
0.000 0.000 8.417
ATOMIC_POSITIONS angstrom
Rb 0.000 0.000 0.000
Rb 0.000 4.812 5.125
Rb 4.168 2.406 3.292
Tl 0.000 0.000 4.208
Ag 0.000 4.812 1.641
Ag 4.168 2.406 6.776
Cl 0.000 2.410 2.281
Cl -2.080 6.013 2.281
Cl 2.087 1.205 6.136
Cl 2.080 6.013 2.281
Cl 6.248 1.205 6.136
Cl 4.168 4.808 6.136
```

Properties
Its crystal system is trigonal. As for the space-group type: No. 164. For the total energy, the calculation gives -36.19 eV for the cell shown. The density comes out at 2.92 g/cm3. The uncorrected formation energy comes out at -14.14 eV/f.u.


(10)
First-principles (PBE) data for crystalline Rb2TlAgCl6 at its relaxed geometry, as listed in Alexandria via LeMat-Bulk. Values from VASP.

Cell and atoms, written as Quantum ESPRESSO input:
```
&SYSTEM
  ibrav = 0, nat = 20, ntyp = 4
/
ATOMIC_SPECIES
Rb 85.47 Rb.upf
Tl 204.38 Tl.upf
Ag 107.87 Ag.upf
Cl 35.45 Cl.upf
CELL_PARAMETERS angstrom
7.426 0.000 0.000
0.000 7.545 0.000
-7.396 0.000 10.612
ATOMIC_POSITIONS angstrom
Rb -0.080 0.357 2.650
Rb -3.778 3.416 7.956
Rb 3.808 4.129 2.656
Rb 0.110 7.189 7.962
Tl 3.713 0.000 0.000
Tl 0.015 3.773 5.306
Ag -3.698 0.000 5.306
Ag 0.000 3.773 0.000
Cl -5.807 1.574 10.276
Cl -2.109 2.199 4.970
Cl -5.234 5.382 10.300
Cl -1.536 5.936 4.994
Cl -3.253 0.035 7.993
Cl 0.445 3.738 2.687
Cl -0.414 3.807 7.924
Cl 3.283 7.511 2.618
Cl 1.566 1.609 5.617
Cl 5.264 2.163 0.312
Cl 2.140 5.346 5.642
Cl 5.838 5.972 0.336
```

Properties
The polymorph energy (0 for the lowest one) comes out at 0.000 eV/atom. Its crystal system is monoclinic. As for the space-group type: No. 14. For the total energy, the calculation gives -60.27 eV for the cell shown. The density comes out at 3.89 g/cm3. The uncorrected formation energy comes out at -11.90 eV/f.u.